Below is a relaxed structure of NdY2AlAu4, with properties calculated at the PBE level.

Cell lengths 4.9695, 4.9695, 8.9479 Å; angles 73.88, 73.88, 60.00 degrees
Fractional positions:
Au 0.8779 0.8779 0.3662
Y 0.7600 0.7600 0.7199
Au 0.6088 0.6088 0.1735
Al 0.5000 0.5000 0.5000
Au 0.1221 0.1221 0.6338
Y 0.2400 0.2400 0.2801
Nd 0.0000 0.0000 0.0000
Au 0.3912 0.3912 0.8265

Results
SG: R-3m

Below is a relaxed structure of NdAl2ZnAu4, with properties calculated at the PBE level.

Cell lengths 4.4394, 4.4394, 9.3851 Å; angles 76.32, 76.32, 60.00 degrees
Fractional positions:
Au 0.8663 0.8663 0.4011
Al 0.7585 0.7585 0.7246
Au 0.1337 0.1337 0.5989
Al 0.2415 0.2415 0.2754
Nd 0.0000 0.0000 0.0000
Au 0.6014 0.6014 0.1959
Au 0.3986 0.3986 0.8041
Zn 0.5000 0.5000 0.5000

Results
SG: R-3m

Below is a relaxed structure of NdAl2ZnAu, with properties calculated at the PBE level.

Cell lengths 4.3796, 4.3796, 6.1196 Å; angles 110.97, 110.97, 90.00 degrees
Fractional positions:
Au 0.7500 0.2500 0.5000
Zn 0.2500 0.7500 0.5000
Al 0.3791 0.3791 0.7582
Al 0.6209 0.6209 0.2418
Nd 0.0000 0.0000 0.0000

Results
SG: I-4m2

Below is a relaxed structure of NdAlZn3Au, with properties calculated at the PBE level.

Cell lengths 5.9057, 6.2291, 7.2185 Å; angles 115.56, 90.00, 90.00 degrees
Fractional positions:
Au 0.7500 0.6625 0.3249
Au 0.2500 0.3375 0.6751
Zn 0.5000 0.6971 0.0000
Zn 0.0000 0.3029 0.0000
Zn 0.2500 0.1303 0.2606
Al 0.2500 0.9285 0.8571
Zn 0.5000 0.3029 0.0000
Zn 0.7500 0.8697 0.7394
Nd 0.2500 0.7036 0.4072
Al 0.7500 0.0715 0.1429
Nd 0.7500 0.2964 0.5928
Zn 0.0000 0.6971 0.0000

Results
SG: Cmcm

Below is a relaxed structure of NdAlZn4Au2, with properties calculated at the PBE level.

Cell lengths 4.3950, 4.3950, 9.2913 Å; angles 76.32, 76.32, 60.00 degrees
Fractional positions:
Zn 0.8731 0.8731 0.3808
Nd 0.0000 0.0000 0.0000
Zn 0.1269 0.1269 0.6192
Au 0.7561 0.7561 0.7317
Zn 0.3980 0.3980 0.8061
Al 0.5000 0.5000 0.5000
Au 0.2439 0.2439 0.2683
Zn 0.6020 0.6020 0.1939

Results
SG: R-3m

Below is a relaxed structure of Nd3AlZn6Au2, with properties calculated at the PBE level.

Cell lengths 5.5736, 5.5736, 9.4539 Å; angles 90.00, 90.00, 120.00 degrees
Fractional positions:
Zn 0.8287 0.1714 0.7290
Nd 0.6667 0.3333 0.4112
Zn 0.3427 0.1714 0.7290
Au 0.6667 0.3333 0.9657
Nd 0.0000 0.0000 0.0000
Zn 0.1713 0.8286 0.2710
Al 0.0000 0.0000 0.5000
Zn 0.8287 0.6573 0.7290
Zn 0.6573 0.8286 0.2710
Zn 0.1713 0.3427 0.2710
Nd 0.3333 0.6667 0.5888
Au 0.3333 0.6667 0.0343

Results
SG: P-3m1

Below is a relaxed structure of NdAlZnAu2, with properties calculated at the PBE level.

Cell lengths 4.1813, 4.1813, 6.6581 Å; angles 108.30, 108.30, 90.00 degrees
Fractional positions:
Nd 0.0000 0.0000 0.0000
Au 0.6167 0.6167 0.2334
Zn 0.2500 0.7500 0.5000
Al 0.7500 0.2500 0.5000
Au 0.3833 0.3833 0.7666

Results
SG: I-4m2

Below is a relaxed structure of NdAlZn2Au5, with properties calculated at the PBE level.

Cell lengths 4.7759, 5.9213, 7.7964 Å; angles 112.32, 107.84, 90.00 degrees
Fractional positions:
Nd 0.0000 0.5000 0.0000
Au 0.3485 0.1103 0.6971
Au 0.6515 0.8897 0.3029
Au 0.3485 0.5868 0.6971
Al 0.5000 0.0000 0.0000
Zn 0.1883 0.1883 0.3766
Au 0.0000 0.0000 0.0000
Au 0.6515 0.4132 0.3029
Zn 0.8117 0.8117 0.6234

Results
SG: Immm

Below is a relaxed structure of NdAlZn2Au4, with properties calculated at the PBE level.

Cell lengths 4.5026, 4.5026, 9.1163 Å; angles 75.70, 75.70, 60.00 degrees
Fractional positions:
Zn 0.7534 0.7534 0.7399
Au 0.3985 0.3985 0.8044
Au 0.8659 0.8659 0.4023
Au 0.6015 0.6015 0.1956
Al 0.5000 0.5000 0.5000
Zn 0.2466 0.2466 0.2601
Nd 0.0000 0.0000 0.0000
Au 0.1341 0.1341 0.5977

Results
SG: R-3m

Below is a relaxed structure of AlNiAu2, with properties calculated at the PBE level.

Cell lengths 4.9959, 4.9959, 4.1520 Å; angles 64.85, 64.85, 41.53 degrees
Fractional positions:
Ni 0.5239 0.5239 0.4759
Al 0.2370 0.2370 0.2626
Au 0.9846 0.9846 0.0148
Au 0.7545 0.7545 0.7467

Results
SG: Cm

Below is a relaxed structure of Al6Ni5Au, with properties calculated at the PBE level.

Cell lengths 4.1531, 5.9367, 6.5565 Å; angles 90.00, 107.76, 90.00 degrees
Fractional positions:
Au 0.0000 0.0000 0.0000
Al 0.5000 0.7322 0.0000
Ni 0.3355 0.5000 0.6735
Ni 0.6699 0.0000 0.3368
Al 0.1746 0.7409 0.3467
Ni 0.3301 0.0000 0.6632
Ni 0.0000 0.5000 0.0000
Al 0.5000 0.2678 0.0000
Al 0.1746 0.2591 0.3467
Al 0.8254 0.2591 0.6533
Al 0.8254 0.7409 0.6533
Ni 0.6645 0.5000 0.3265

Results
SG: P2/m

Below is a relaxed structure of Al3Ni4Au, with properties calculated at the PBE level.

Cell lengths 3.9427, 6.5218, 7.8833 Å; angles 90.00, 90.00, 90.00 degrees
Fractional positions:
Al 0.0000 0.0000 0.5000
Ni 0.5000 0.2266 0.5000
Al 0.0000 0.0000 0.0000
Ni 0.9998 0.7734 0.2500
Ni 0.9998 0.2266 0.2500
Au 0.0000 0.5000 0.5000
Ni 0.5000 0.2266 0.0000
Al 0.5001 0.0000 0.7500
Ni 0.5000 0.7734 0.5000
Ni 0.5000 0.7734 0.0000
Ni 0.0002 0.2266 0.7500
Al 0.4999 0.5000 0.2500
Al 0.4999 0.0000 0.2500
Ni 0.0002 0.7734 0.7500
Au 0.0000 0.5000 0.0000
Al 0.5001 0.5000 0.7500

Results
SG: P4/mmm

Below is a relaxed structure of Al2Ni3Au2, with properties calculated at the PBE level.

Cell lengths 4.1145, 4.1193, 7.1917 Å; angles 90.12, 106.53, 119.93 degrees
Fractional positions:
Au 0.2577 0.1293 0.3862
Au 0.7423 0.8707 0.6138
Ni 0.5328 0.2665 0.7995
Al 0.2255 0.6129 0.8390
Al 0.7745 0.3871 0.1610
Ni 0.4672 0.7335 0.2005
Ni 0.0000 0.0000 0.0000

Results
SG: C2/m

Below is a relaxed structure of AlNiAu2, with properties calculated at the PBE level.

Cell lengths 3.3654, 3.1596, 6.5680 Å; angles 61.32, 90.00, 90.00 degrees
Fractional positions:
Al 0.5000 0.7500 0.7500
Au 0.0000 0.9974 0.0018
Au 0.0000 0.5026 0.4982
Ni 0.5000 0.2500 0.2500

Results
SG: P2/m

Below is a relaxed structure of AlNiAu2, with properties calculated at the PBE level.

Cell lengths 4.0461, 3.0255, 5.2636 Å; angles 73.06, 90.00, 90.00 degrees
Fractional positions:
Au 0.0000 0.9579 0.9573
Au 0.5000 0.2914 0.2937
Ni 0.0000 0.6892 0.4958
Al 0.5000 0.5615 0.7531

Results
SG: Pm

Below is a relaxed structure of AlNiAu2, with properties calculated at the PBE level.

Cell lengths 4.4439, 4.4439, 4.4439 Å; angles 60.00, 60.00, 60.00 degrees
Fractional positions:
Al 0.5000 0.5000 0.5000
Au 0.2500 0.2500 0.2500
Au 0.0000 0.0000 0.0000
Ni 0.7500 0.7500 0.7500

Results
SG: F-43m

Below is a relaxed structure of AlNiAu2, with properties calculated at the PBE level.

Cell lengths 7.0523, 7.0523, 5.6634 Å; angles 51.49, 51.49, 90.00 degrees
Fractional positions:
Al 0.5000 0.5000 0.0000
Al 0.2500 0.7500 0.5000
Ni 0.7500 0.2500 0.5000
Au 0.6207 0.1250 0.2500
Au 0.3750 0.3793 0.7500
Ni 0.0000 0.0000 0.0000
Au 0.1293 0.6250 0.2500
Au 0.8750 0.8707 0.7500

Results
SG: I-42d

Below is a relaxed structure of Al2Ni3Au, with properties calculated at the PBE level.

Cell lengths 2.9152, 2.9152, 9.0841 Å; angles 90.00, 90.00, 90.00 degrees
Fractional positions:
Ni 0.0000 0.0000 0.3047
Au 0.5000 0.5000 0.5000
Al 0.5000 0.5000 0.8403
Ni 0.0000 0.0000 0.6953
Ni 0.0000 0.0000 0.0000
Al 0.5000 0.5000 0.1597

Results
SG: P4/mmm

Below is a relaxed structure of AlNiAu2, with properties calculated at the PBE level.

Cell lengths 8.3496, 8.3496, 8.3496 Å; angles 20.72, 20.72, 20.72 degrees
Fractional positions:
Au 0.4994 0.4994 0.4994
Au 0.0006 0.0006 0.0006
Ni 0.2500 0.2500 0.2500
Al 0.7500 0.7500 0.7500

Results
SG: R-3m

Below is a relaxed structure of AlNiAu4, with properties calculated at the PBE level.

Cell lengths 5.4237, 5.4237, 5.4237 Å; angles 60.00, 60.00, 60.00 degrees
Each line ends with the local moment (μB).
Fractional positions:
Ni 0.7500 0.7500 0.7500  0.47
Au 0.8746 0.3751 0.3751  0.00
Au 0.3751 0.3751 0.3751  0.00
Au 0.3751 0.3751 0.8746  0.00
Au 0.3751 0.8746 0.3751  0.00
Al 0.0000 0.0000 0.0000  0.02

Results
SG: F-43m

Below is a relaxed structure of AlNiAu2, with properties calculated at the PBE level.

Cell lengths 3.0445, 3.0472, 6.5632 Å; angles 90.00, 90.00, 90.00 degrees
Fractional positions:
Au 0.5000 0.5000 0.2816
Au 0.0000 0.0000 0.9688
Ni 0.0000 0.0000 0.5352
Al 0.5000 0.5000 0.7144

Results
SG: P4mm

Below is a relaxed structure of Al5Ni4Au, with properties calculated at the PBE level.

Cell lengths 2.9333, 2.9333, 15.0749 Å; angles 90.00, 90.00, 90.00 degrees
Fractional positions:
Ni 0.0000 0.0000 0.2171
Ni 0.0000 0.0000 0.4065
Al 0.5000 0.5000 0.8749
Au 0.0000 0.0000 0.0000
Al 0.5000 0.5000 0.5000
Ni 0.0000 0.0000 0.7829
Al 0.5000 0.5000 0.1251
Al 0.5000 0.5000 0.6877
Ni 0.0000 0.0000 0.5935
Al 0.5000 0.5000 0.3123

Results
SG: P4/mmm

Below is a relaxed structure of Al7NiAu12, with properties calculated at the PBE level.

Cell lengths 8.2379, 8.2379, 8.2379 Å; angles 112.95, 112.95, 112.95 degrees
Fractional positions:
Al 0.0251 0.9959 0.3246
Ni 0.0000 0.0000 0.0000
Al 0.6754 0.9749 0.0041
Al 0.3246 0.0251 0.9959
Au 0.8994 0.6392 0.6035
Al 0.9959 0.3246 0.0251
Au 0.6392 0.6035 0.8994
Au 0.6035 0.8994 0.6392
Au 0.6606 0.8567 0.2877
Au 0.1006 0.3608 0.3965
Au 0.1433 0.7123 0.3394
Au 0.8567 0.2877 0.6606
Al 0.9749 0.0041 0.6754
Au 0.3394 0.1433 0.7123
Al 0.0041 0.6754 0.9749
Au 0.3965 0.1006 0.3608
Au 0.7123 0.3394 0.1433
Au 0.2877 0.6606 0.8567
Au 0.3608 0.3965 0.1006
Al 0.5000 0.5000 0.5000

Results
SG: R-3

Below is a relaxed structure of AlNiAu2, with properties calculated at the PBE level.

Cell lengths 4.6489, 4.6489, 4.7997 Å; angles 77.81, 77.81, 38.11 degrees
Fractional positions:
Au 0.5024 0.5024 0.5013
Au 0.9976 0.9976 0.9987
Ni 0.7500 0.7500 0.7500
Al 0.2500 0.2500 0.2500

Results
SG: C2/m

Below is a relaxed structure of AlNiAu2, with properties calculated at the PBE level.

Cell lengths 8.6983, 8.6983, 8.6983 Å; angles 19.31, 19.31, 19.31 degrees
Fractional positions:
Al 0.7576 0.7576 0.7576
Au 0.2424 0.2424 0.2424
Au 0.0078 0.0078 0.0078
Ni 0.4922 0.4922 0.4922

Results
SG: R3m

| no. | DFT formation energy (eV/atom) | calculated total energy (eV per atom) |
| --- | --- | --- |
| 1 | -0.734 | -5.0524 |
| 2 | -0.513 | -3.8429 |
| 3 | -0.538 | -3.8993 |
| 4 | -0.184 | -2.7861 |
| 5 | -0.276 | -2.7965 |
| 6 | -0.269 | -2.9560 |
| 7 | -0.614 | -3.8814 |
| 8 | -0.269 | -3.3189 |
| 9 | -0.466 | -3.4872 |
| 10 | -0.253 | -4.2731 |
| 11 | -0.574 | -5.1268 |
| 12 | -0.507 | -5.2105 |
| 13 | -0.334 | -4.8175 |
| 14 | -0.178 | -4.1981 |
| 15 | -0.221 | -4.2403 |
| 16 | -0.161 | -4.1808 |
| 17 | -0.024 | -4.0438 |
| 18 | -0.441 | -5.1254 |
| 19 | -0.015 | -4.0351 |
| 20 | 0.308 | -3.4643 |
| 21 | -0.285 | -4.3048 |
| 22 | -0.582 | -5.0934 |
| 23 | -0.237 | -3.8023 |
| 24 | -0.150 | -4.1699 |
| 25 | -0.138 | -4.1578 |